CrTeO2 GGA+U optimized geometry; DOS(E_F) = 0.51 states/eV per atom; symmetry = R-3m (166); E_tot = -0.399 Ry per atom; crystal system = trigonal
1.0
3.253 0.000 0.000
-1.627 2.817 0.000
0.000 0.000 21.098
Cr Te O
3 3 6
direct
0.000 0.000 0.000
0.333 0.667 0.667
0.667 0.333 0.333
0.000 0.000 0.500
0.333 0.667 0.167
0.667 0.333 0.833
0.000 0.000 0.093
0.000 0.000 0.907
0.333 0.667 0.573
0.333 0.667 0.760
0.667 0.333 0.240
0.667 0.333 0.427